Zr6C2N3O: optimized geometry, PBE-GGA.

Unit cell a=5.7142 b=5.7142 c=5.7064 alpha=99.66 beta=99.66 gamma=119.96
Fractional positions:
1 Zr 0.9169 0.5689 0.7514
2 Zr 0.7368 0.7368 0.2590
3 Zr 0.0831 0.4311 0.2486
4 Zr 0.5689 0.9169 0.7514
5 Zr 0.2632 0.2632 0.7410
6 Zr 0.4311 0.0831 0.2486
7 C 0.3339 0.6661 0.0000
8 C 0.6661 0.3339 0.0000
9 N 0.1680 0.8320 0.5000
10 N 0.8320 0.1680 0.5000
11 N 0.5000 0.5000 0.5000
12 O 0.0000 0.0000 0.0000

Results
The value obtained for the uncorrected formation energy is -1.584 eV/atom. The energy is -9.890 eV/atom.